Record 1
Here is crystalline Pr6Nd3Sc at its relaxed geometry from Alexandria via LeMat-Bulk. Energies are from PBE-GGA.

Structure (POSCAR):
```
Pr6Nd3Sc
1.0
8.909 0.000 4.728
3.200 8.315 4.728
2.256 1.549 6.507
Pr Nd Sc
6 3 1
Direct
0.095 0.433 0.698
0.926 0.605 0.202
0.774 0.095 0.698
0.605 0.267 0.202
0.267 0.926 0.202
0.433 0.774 0.698
0.350 0.350 0.950
0.095 0.095 0.715
0.605 0.605 0.185
0.850 0.850 0.450
```

Output
For the relative energy among the computed polymorphs, the calculation gives 0.062 eV per atom. The value obtained for the density of states at the Fermi level is 1.918 states/eV per atom. The symmetry is R-3 (148). As for the energy relative to the elements: 196.5 meV/atom.


Record 2
Here is crystalline PrNd15Sc4 at its relaxed geometry from Alexandria via LeMat-Bulk. Energies are from PBE-GGA.

Structure (POSCAR):
```
PrNd15Sc4
1.0
5.088 0.000 0.000
0.000 5.088 0.000
0.000 0.000 25.411
Nd Sc Pr
15 4 1
Direct
0.500 0.500 0.401
0.500 0.000 0.895
0.500 0.000 0.697
0.500 0.500 0.000
0.000 0.500 0.303
0.000 0.500 0.105
0.000 0.500 0.697
0.500 0.000 0.303
0.500 0.500 0.796
0.000 0.500 0.500
0.500 0.500 0.599
0.000 0.500 0.895
0.500 0.000 0.105
0.500 0.500 0.204
0.500 0.000 0.500
0.000 0.000 0.796
0.000 0.000 0.401
0.000 0.000 0.599
0.000 0.000 0.204
0.000 0.000 0.000
```

Output
The value obtained for the density of states at the Fermi level is 1.309 states/eV per atom. The symmetry is P4/mmm (123). As for the energy relative to the elements: 32.3 meV/atom.


Record 3
Here is crystalline PrNd3Sc4 at its relaxed geometry from Alexandria via LeMat-Bulk. Energies are from PBE-GGA.

Structure (POSCAR):
```
PrNd3Sc4
1.0
-1.321 -4.573 3.411
7.327 -1.116 1.342
-0.573 6.587 8.608
Sc Nd Pr
8 6 2
Direct
0.643 0.098 0.000
0.486 0.902 0.250
0.642 0.098 0.500
0.986 0.098 0.250
0.142 0.902 0.000
0.986 0.098 0.750
0.143 0.902 0.500
0.486 0.902 0.750
0.006 0.647 0.750
0.506 0.353 0.250
0.122 0.353 0.500
0.622 0.647 0.000
0.506 0.353 0.750
0.006 0.647 0.250
0.624 0.646 0.500
0.124 0.354 0.000
```

Output
The value obtained for the density of states at the Fermi level is 1.782 states/eV per atom. The symmetry is Pmn2_1 (31). As for the energy relative to the elements: 60.5 meV/atom.


Record 4
Here is crystalline Pr4Nd3Sc2 at its relaxed geometry from Alexandria via LeMat-Bulk. Energies are from PBE-GGA.

Structure (POSCAR):
```
Pr4Nd3Sc2
1.0
5.098 -0.002 0.001
2.546 5.465 1.539
0.000 0.444 10.802
Sc Nd Pr
2 3 4
Direct
0.332 0.335 0.777
0.668 0.665 0.223
0.000 0.000 0.000
0.669 0.661 0.556
0.331 0.339 0.444
0.001 0.998 0.671
0.667 0.665 0.890
0.333 0.335 0.110
0.999 0.002 0.329
```

Output
For the relative energy among the computed polymorphs, the calculation gives 0.000 eV per atom. The value obtained for the density of states at the Fermi level is 1.473 states/eV per atom. The symmetry is C2/m (12). As for the energy relative to the elements: 42.2 meV/atom.


Record 5
Here is crystalline Pr8Nd3Sc at its relaxed geometry from Alexandria via LeMat-Bulk. Energies are from PBE-GGA.

Structure (POSCAR):
```
Pr8Nd3Sc
1.0
7.720 -0.534 -3.693
-4.524 7.191 -1.165
-0.336 0.534 8.552
Pr Nd Sc
8 3 1
Direct
0.000 0.882 0.631
0.000 0.631 0.882
0.000 0.257 0.777
0.520 0.743 0.743
0.749 0.118 0.118
0.251 0.369 0.369
0.480 0.223 0.223
0.000 0.777 0.257
0.000 0.500 0.500
0.500 0.750 0.250
0.500 0.250 0.750
0.000 0.000 0.000
```

Output
The value obtained for the density of states at the Fermi level is 1.577 states/eV per atom. The symmetry is I-42m (121). As for the energy relative to the elements: 506.0 meV/atom.


Record 6
Here is crystalline Pr2Nd5Sc at its relaxed geometry from Alexandria via LeMat-Bulk. Energies are from PBE-GGA.

Structure (POSCAR):
```
Pr2Nd5Sc
1.0
-0.853 -2.053 -2.887
8.632 -5.348 1.252
-7.845 -1.999 3.745
Nd Pr Sc
5 2 1
Direct
0.500 0.120 0.758
0.500 0.362 0.242
0.500 0.638 0.758
0.000 0.500 0.000
0.500 0.880 0.242
0.000 0.251 0.502
0.000 0.749 0.498
0.000 0.000 0.000
```

Output
The value obtained for the density of states at the Fermi level is 1.596 states/eV per atom. The symmetry is Cmmm (65). As for the energy relative to the elements: 32.4 meV/atom.


Record 7
Here is crystalline PrNd14Sc at its relaxed geometry from Alexandria via LeMat-Bulk. Energies are from PBE-GGA.

Structure (POSCAR):
```
PrNd14Sc
1.0
-4.494 -5.366 2.126
2.277 -4.124 -5.596
7.494 -3.923 5.940
Nd Sc Pr
14 1 1
Direct
0.622 0.378 0.246
0.622 0.378 0.754
0.128 0.872 0.754
0.129 0.379 0.246
0.875 0.625 0.500
0.129 0.379 0.754
0.621 0.871 0.246
0.621 0.871 0.754
0.375 0.625 0.500
0.875 0.625 0.000
0.128 0.872 0.246
0.375 0.125 0.500
0.875 0.125 0.500
0.375 0.125 0.000
0.375 0.625 0.000
0.875 0.125 0.000
```

Output
The value obtained for the density of states at the Fermi level is 1.496 states/eV per atom. The symmetry is P4/mmm (123). As for the energy relative to the elements: 21.3 meV/atom.


Record 8
Here is crystalline Pr3Nd5Sc at its relaxed geometry from Alexandria via LeMat-Bulk. Energies are from PBE-GGA.

Structure (POSCAR):
```
Pr3Nd5Sc
1.0
9.369 1.803 -0.993
4.299 8.518 -0.993
2.851 2.152 8.755
Nd Pr Sc
10 6 2
Direct
0.136 0.552 0.590
0.323 0.677 0.000
0.499 0.499 0.326
0.677 0.323 0.000
0.864 0.448 0.410
0.552 0.136 0.590
0.448 0.864 0.410
0.694 0.694 0.065
0.306 0.306 0.935
0.501 0.501 0.674
0.699 0.699 0.712
0.000 0.000 0.500
0.846 0.846 0.284
0.301 0.301 0.288
0.154 0.154 0.716
0.000 0.000 0.000
0.127 0.127 0.162
0.873 0.873 0.838
```

Output
The value obtained for the density of states at the Fermi level is 1.466 states/eV per atom. The symmetry is C2/m (12). As for the energy relative to the elements: 391.2 meV/atom.


Record 9
Here is crystalline Pr7Nd3Sc at its relaxed geometry from Alexandria via LeMat-Bulk. Energies are from PBE-GGA.

Structure (POSCAR):
```
Pr7Nd3Sc
1.0
5.949 -0.183 -0.234
-2.678 8.177 1.105
-2.678 -0.911 8.201
Nd Pr Sc
3 7 1
Direct
0.000 0.206 0.794
0.500 0.000 0.000
0.000 0.794 0.206
0.000 0.500 0.500
0.783 0.784 0.784
0.308 0.019 0.598
0.692 0.981 0.402
0.217 0.216 0.216
0.692 0.402 0.981
0.308 0.598 0.019
0.500 0.500 0.500
```

Output
The value obtained for the density of states at the Fermi level is 1.461 states/eV per atom. The symmetry is C2/m (12). As for the energy relative to the elements: 223.5 meV/atom.


Record 10
Here is crystalline Pr5Nd12Sc2 at its relaxed geometry from Alexandria via LeMat-Bulk. Energies are from PBE-GGA.

Structure (POSCAR):
```
Pr5Nd12Sc2
1.0
-5.233 -3.658 3.189
5.993 -5.372 3.673
0.337 10.817 4.976
Nd Pr Sc
12 5 2
Direct
0.848 0.375 0.207
0.359 0.375 0.207
0.544 0.207 0.592
0.641 0.625 0.793
0.152 0.625 0.793
0.048 0.207 0.592
0.130 0.025 0.259
0.549 0.698 0.098
0.451 0.302 0.902
0.952 0.793 0.408
0.870 0.975 0.741
0.456 0.793 0.408
0.000 0.500 0.000
0.753 0.517 0.506
0.353 0.907 0.707
0.247 0.483 0.494
0.647 0.093 0.293
0.732 0.000 0.000
0.268 0.000 0.000
```

Output
For the relative energy among the computed polymorphs, the calculation gives 0.000 eV per atom. The value obtained for the density of states at the Fermi level is 1.566 states/eV per atom. The symmetry is C2/m (12). As for the energy relative to the elements: 144.3 meV/atom.


Record 11
Here is crystalline Pr2Nd3Sc2 at its relaxed geometry from Alexandria via LeMat-Bulk. Energies are from PBE-GGA.

Structure (POSCAR):
```
Pr2Nd3Sc2
1.0
-0.669 2.103 -2.832
6.797 -3.541 -1.958
-7.616 -5.645 -0.117
Pr Sc Nd
2 2 3
Direct
0.070 0.289 0.850
0.930 0.711 0.150
0.644 0.574 0.714
0.356 0.426 0.286
0.204 0.839 0.569
0.796 0.161 0.431
0.500 0.000 0.000
```

Output
The value obtained for the density of states at the Fermi level is 1.436 states/eV per atom. The symmetry is C2/m (12). As for the energy relative to the elements: 52.7 meV/atom.


Record 12
Here is crystalline Pr2NdSc at its relaxed geometry from Alexandria via LeMat-Bulk. Energies are from PBE-GGA.

Structure (POSCAR):
```
Pr2NdSc
1.0
3.646 0.000 0.000
0.000 3.646 0.000
0.000 0.000 9.888
Nd Pr Sc
1 2 1
Direct
0.500 0.500 0.500
0.000 0.000 0.766
0.000 0.000 0.234
0.500 0.500 0.000
```

Output
For the relative energy among the computed polymorphs, the calculation gives 0.007 eV per atom. The value obtained for the density of states at the Fermi level is 1.613 states/eV per atom. The symmetry is P4/mmm (123). As for the energy relative to the elements: 45.4 meV/atom.